Record 1
# SCAN BeBF3, single point on PBEsol structure
data_BeBF3
_chemical_formula_sum 'Be1 B1 F3'
_symmetry_space_group_name_H-M 'P 1'
_symmetry_Int_Tables_number 1
_cell_length_a 3.6585
_cell_length_b 3.6585
_cell_length_c 3.6585
_cell_angle_alpha 90.00
_cell_angle_beta 90.00
_cell_angle_gamma 90.00
loop_
_symmetry_equiv_pos_as_xyz
'x,y,z'
loop_
_atom_site_label
_atom_site_fract_x
_atom_site_fract_y
_atom_site_fract_z
Be1 0.5000 0.5000 0.5000
B1 0.0000 0.0000 0.0000
F1 0.0000 0.5000 0.0000
F2 0.0000 0.0000 0.5000
F3 0.5000 0.0000 0.0000
# Total magnetic moment (Bohr magnetons per cell): 0.96
# Formation energy without anion corrections (meV/atom): -449
# Calculated total energy (eV/atom): -4.930
# Symmetry: Pm-3m

---

Record 2
# SCAN BeB2F, single point on PBEsol structure
data_BeB2F
_chemical_formula_sum 'Be1 B2 F1'
_symmetry_space_group_name_H-M 'P 1'
_symmetry_Int_Tables_number 1
_cell_length_a 3.6756
_cell_length_b 3.6756
_cell_length_c 3.6756
_cell_angle_alpha 60.00
_cell_angle_beta 60.00
_cell_angle_gamma 60.00
loop_
_symmetry_equiv_pos_as_xyz
'x,y,z'
loop_
_atom_site_label
_atom_site_fract_x
_atom_site_fract_y
_atom_site_fract_z
Be1 0.0000 0.0000 0.0000
B1 0.2500 0.2500 0.2500
B2 0.7500 0.7500 0.7500
F1 0.5000 0.5000 0.5000
# Total magnetic moment (Bohr magnetons per cell): 0.31
# Formation energy without anion corrections (meV/atom): 1495
# Calculated total energy (eV/atom): -4.193
# Symmetry: Fm-3m

---

Record 3
# SCAN BeBF2, single point on PBEsol structure
data_BeBF2
_chemical_formula_sum 'Be1 B1 F2'
_symmetry_space_group_name_H-M 'P 1'
_symmetry_Int_Tables_number 1
_cell_length_a 2.6669
_cell_length_b 2.6669
_cell_length_c 8.0731
_cell_angle_alpha 80.49
_cell_angle_beta 80.49
_cell_angle_gamma 60.00
loop_
_symmetry_equiv_pos_as_xyz
'x,y,z'
loop_
_atom_site_label
_atom_site_fract_x
_atom_site_fract_y
_atom_site_fract_z
Be1 0.0000 0.0000 0.0000
B1 0.5000 0.5000 0.5000
F1 0.9416 0.9416 0.1751
F2 0.0584 0.0584 0.8249
# Total magnetic moment (Bohr magnetons per cell): 0.00
# Formation energy without anion corrections (meV/atom): -671
# Calculated total energy (eV/atom): -5.387
# Symmetry: R-3m

---

Record 4
# SCAN KBeBF2, single point on PBEsol structure
data_KBeBF2
_chemical_formula_sum 'K1 Be1 B1 F2'
_symmetry_space_group_name_H-M 'P 1'
_symmetry_Int_Tables_number 1
_cell_length_a 3.5070
_cell_length_b 3.5070
_cell_length_c 8.5144
_cell_angle_alpha 90.00
_cell_angle_beta 90.00
_cell_angle_gamma 90.00
loop_
_symmetry_equiv_pos_as_xyz
'x,y,z'
loop_
_atom_site_label
_atom_site_fract_x
_atom_site_fract_y
_atom_site_fract_z
Be1 0.0000 0.0000 0.0000
K1 0.0000 0.0000 0.5000
B1 0.5000 0.5000 0.5000
F1 0.0000 0.5000 0.0000
F2 0.5000 0.0000 0.0000
# Total magnetic moment (Bohr magnetons per cell): 1.55
# Formation energy without anion corrections (meV/atom): -488
# Calculated total energy (eV/atom): -5.926
# Symmetry: P4/mmm

---

Record 5
# SCAN KBe2BO3F2, single point on PBEsol structure
data_KBe2BO3F2
_chemical_formula_sum 'K2 Be4 B2 O6 F4'
_symmetry_space_group_name_H-M 'P 1'
_symmetry_Int_Tables_number 1
_cell_length_a 4.4282
_cell_length_b 4.4282
_cell_length_c 12.7784
_cell_angle_alpha 80.02
_cell_angle_beta 80.02
_cell_angle_gamma 60.00
loop_
_symmetry_equiv_pos_as_xyz
'x,y,z'
loop_
_atom_site_label
_atom_site_fract_x
_atom_site_fract_y
_atom_site_fract_z
Be1 0.4012 0.4012 0.7964
Be2 0.9012 0.9012 0.2964
Be3 0.5988 0.5988 0.2036
Be4 0.0988 0.0988 0.7036
K1 0.0000 0.0000 0.0000
K2 0.5000 0.5000 0.5000
B1 0.7500 0.7500 0.7500
B2 0.2500 0.2500 0.2500
O1 0.7500 0.4396 0.7500
O2 0.0604 0.7500 0.7500
O3 0.4396 0.0604 0.7500
O4 0.5604 0.9396 0.2500
O5 0.2500 0.5604 0.2500
O6 0.9396 0.2500 0.2500
F1 0.3604 0.3604 0.9186
F2 0.8604 0.8604 0.4186
F3 0.6395 0.6395 0.0814
F4 0.1396 0.1396 0.5814
# Total magnetic moment (Bohr magnetons per cell): 0.00
# Formation energy without anion corrections (meV/atom): -3059
# Calculated total energy (eV/atom): -8.641
# Symmetry: R-3c

---

Record 6
# SCAN KBe2BO3F2, single point on PBEsol structure
data_KBe2BO3F2
_chemical_formula_sum 'K1 Be2 B1 O3 F2'
_symmetry_space_group_name_H-M 'P 1'
_symmetry_Int_Tables_number 1
_cell_length_a 4.4276
_cell_length_b 4.4276
_cell_length_c 6.7748
_cell_angle_alpha 70.93
_cell_angle_beta 70.93
_cell_angle_gamma 60.00
loop_
_symmetry_equiv_pos_as_xyz
'x,y,z'
loop_
_atom_site_label
_atom_site_fract_x
_atom_site_fract_y
_atom_site_fract_z
Be1 0.1975 0.1975 0.4076
Be2 0.8025 0.8025 0.5924
K1 0.0000 0.0000 0.0000
B1 0.5000 0.5000 0.5000
O1 0.8104 0.5000 0.5000
O2 0.1896 0.8104 0.5000
O3 0.5000 0.1896 0.5000
F1 0.2788 0.2788 0.1635
F2 0.7212 0.7212 0.8365
# Total magnetic moment (Bohr magnetons per cell): 0.00
# Formation energy without anion corrections (meV/atom): -3058
# Calculated total energy (eV/atom): -8.640
# Symmetry: R32

---

- What is the formation energy without anion corrections in the fourth record?
  -488 meV/atom

---

Copy entry 2 word for word.
# SCAN BeB2F, single point on PBEsol structure
data_BeB2F
_chemical_formula_sum 'Be1 B2 F1'
_symmetry_space_group_name_H-M 'P 1'
_symmetry_Int_Tables_number 1
_cell_length_a 3.6756
_cell_length_b 3.6756
_cell_length_c 3.6756
_cell_angle_alpha 60.00
_cell_angle_beta 60.00
_cell_angle_gamma 60.00
loop_
_symmetry_equiv_pos_as_xyz
'x,y,z'
loop_
_atom_site_label
_atom_site_fract_x
_atom_site_fract_y
_atom_site_fract_z
Be1 0.0000 0.0000 0.0000
B1 0.2500 0.2500 0.2500
B2 0.7500 0.7500 0.7500
F1 0.5000 0.5000 0.5000
# Total magnetic moment (Bohr magnetons per cell): 0.31
# Formation energy without anion corrections (meV/atom): 1495
# Calculated total energy (eV/atom): -4.193
# Symmetry: Fm-3m